(1)
First-principles (PBE) data for an optimized crystal structure of MgInBr2, as listed in the Alexandria database.

POSCAR file:
```
MgInBr2
1.0
1.880 1.085 11.568
-1.880 1.085 11.568
0.000 -2.170 11.568
Mg In Br
1 1 2
Direct
0.000 0.000 0.000
0.500 0.500 0.500
0.288 0.288 0.288
0.712 0.712 0.712
```

## Properties
Spin magnetization: 0.00 μB per formula unit
Theoretical density: 3.5 g/cm³
Excess energy over the best structure of this formula in the dataset: 13 meV/atom
Space group: No. 166
Total DFT energy (no corrections): -2.82 eV/atom

***

(2)
First-principles (PBE) data for an optimized crystal structure of Mg2InBr, as listed in the Alexandria database.

POSCAR file:
```
Mg2InBr
1.0
3.349 0.000 0.000
0.000 5.287 0.000
0.000 0.000 5.896
Mg In Br
2 1 1
Direct
0.000 0.000 0.000
0.500 0.000 0.500
0.000 0.500 0.500
0.500 0.500 0.000
```

## Properties
Spin magnetization: 0.00 μB per formula unit
Theoretical density: 3.9 g/cm³
Excess energy over the best structure of this formula in the dataset: 251 meV/atom
Space group: No. 47
Total DFT energy (no corrections): -2.07 eV/atom

***

(3)
First-principles (PBE) data for an optimized crystal structure of MgInBr, as listed in the Alexandria database.

POSCAR file:
```
MgInBr
1.0
16.263 0.000 0.000
0.000 1.804 3.103
0.000 -1.804 3.103
Mg In Br
2 2 2
Direct
0.000 0.000 0.000
0.500 0.236 0.236
0.352 0.899 0.899
0.648 0.899 0.899
0.105 0.334 0.334
0.895 0.334 0.334
```

## Properties
Spin magnetization: 0.00 μB per formula unit
Theoretical density: 4.0 g/cm³
Excess energy over the best structure of this formula in the dataset: 0 meV/atom
Space group: No. 38
Total DFT energy (no corrections): -2.53 eV/atom